[1]
! TbEr2Th3Se6 (GGA-PBE, relaxed); values from VASP
&SYSTEM
  ibrav = 0, nat = 12, ntyp = 4
/
ATOMIC_SPECIES
Tb 158.93 Tb.upf
Er 167.26 Er.upf
Th 232.04 Th.upf
Se 78.96 Se.upf
CELL_PARAMETERS angstrom
3.4656 -5.9725 0.0000
3.4656 5.9725 0.0000
-2.2914 0.0000 7.2224
ATOMIC_POSITIONS angstrom
Tb 0.0000 0.0000 0.0000
Er 3.4656 1.9945 0.0000
Er 3.4656 -1.9945 0.0000
Th 2.3199 4.0022 3.6112
Th 2.3199 0.0000 3.6112
Th 2.3199 -4.0022 3.6112
Se 1.1723 2.0111 1.6757
Se 0.0392 0.0000 5.5609
Se 1.1723 -2.0111 1.6757
Se 3.4674 2.0111 5.5466
Se 4.6006 0.0000 1.6615
Se 3.4674 -2.0111 5.5466
! * uncorrected formation energy: -1.626 eV per atom
! * crystal system: monoclinic
! * Fermi-level density of states: 7.943 states/eV/f.u.


[2]
! TbEr2Tl3Se6 (GGA-PBE, relaxed); values from VASP
&SYSTEM
  ibrav = 0, nat = 12, ntyp = 4
/
ATOMIC_SPECIES
Tb 158.93 Tb.upf
Er 167.26 Er.upf
Tl 204.38 Tl.upf
Se 78.96 Se.upf
CELL_PARAMETERS angstrom
3.6114 -6.2551 0.0000
3.6114 6.2551 0.0000
-2.4072 0.0000 7.7768
ATOMIC_POSITIONS angstrom
Tb 0.0000 0.0000 0.0000
Er 3.6114 2.0860 0.0000
Er 3.6114 -2.0860 0.0000
Tl 2.4078 4.1808 3.8884
Tl 2.4078 0.0000 3.8884
Tl 2.4078 -4.1808 3.8884
Se 1.2157 2.1052 1.5823
Se 0.0235 0.0000 6.2009
Se 1.2157 -2.1052 1.5823
Se 3.5998 2.1052 6.1945
Se 4.7921 0.0000 1.5758
Se 3.5998 -2.1052 6.1945
! * uncorrected formation energy: -1.384 eV per atom
! * crystal system: monoclinic


[3]
! TbErTlSe (GGA-PBE, relaxed); values from VASP
&SYSTEM
  ibrav = 0, nat = 4, ntyp = 4
/
ATOMIC_SPECIES
Tb 158.93 Tb.upf
Er 167.26 Er.upf
Tl 204.38 Tl.upf
Se 78.96 Se.upf
CELL_PARAMETERS angstrom
3.3526 -1.9370 0.0000
3.3526 1.9370 0.0000
-2.2240 0.0000 8.2786
ATOMIC_POSITIONS angstrom
Tb 0.0000 0.0000 0.0000
Er 4.4741 0.0000 3.4960
Tl 2.2449 0.0000 5.8706
Se 2.2367 0.0000 1.7551
! * uncorrected formation energy: -0.987 eV per atom
! * crystal system: monoclinic
! * Fermi-level density of states: 2.846 states/eV/f.u.


[4]
! TbErTl2Se4 (GGA-PBE, relaxed); values from VASP
&SYSTEM
  ibrav = 0, nat = 8, ntyp = 4
/
ATOMIC_SPECIES
Tb 158.93 Tb.upf
Er 167.26 Er.upf
Tl 204.38 Tl.upf
Se 78.96 Se.upf
CELL_PARAMETERS angstrom
7.2375 0.0000 0.0000
0.0000 4.1784 0.0000
-2.4102 0.0000 7.7750
ATOMIC_POSITIONS angstrom
Tb 0.0000 0.0000 0.0000
Er 3.6188 2.0892 0.0000
Tl -1.2051 2.0892 3.8875
Tl 2.4137 0.0000 3.8875
Se 1.2268 2.0892 1.5888
Se 0.0226 0.0000 6.1965
Se 4.8047 0.0000 1.5785
Se 3.6005 2.0892 6.1862
! * uncorrected formation energy: -1.385 eV per atom
! * crystal system: monoclinic


[5]
! Tb3ErTl4Se8 (GGA-PBE, relaxed); values from VASP
&SYSTEM
  ibrav = 0, nat = 16, ntyp = 4
/
ATOMIC_SPECIES
Tb 158.93 Tb.upf
Er 167.26 Er.upf
Tl 204.38 Tl.upf
Se 78.96 Se.upf
CELL_PARAMETERS angstrom
4.1915 2.4199 7.7733
-4.1915 2.4199 7.7733
0.0000 -4.8399 7.7733
ATOMIC_POSITIONS angstrom
Tb -2.0957 -1.2100 7.7733
Tb -2.0957 1.2100 15.5466
Tb 0.0000 2.4199 7.7733
Er 0.0000 0.0000 0.0000
Tl -4.1915 0.0000 11.6600
Tl -2.0957 1.2100 3.8867
Tl 2.0957 1.2100 3.8867
Tl 0.0000 0.0000 11.6600
Se 0.0000 -2.4407 9.3591
Se -2.1137 1.2204 9.3591
Se -2.1137 -1.2204 13.9608
Se 0.0000 0.0000 6.1770
Se 0.0000 0.0000 17.1430
Se 2.1137 1.2204 9.3592
Se 2.1137 -1.2203 13.9608
Se 0.0000 2.4407 13.9608
! * uncorrected formation energy: -1.388 eV per atom
! * crystal system: trigonal


[6]
! Tb3ErTm3Se8 (GGA-PBE, relaxed); values from VASP
&SYSTEM
  ibrav = 0, nat = 15, ntyp = 4
/
ATOMIC_SPECIES
Tb 158.93 Tb.upf
Er 167.26 Er.upf
Tm 168.93 Tm.upf
Se 78.96 Se.upf
CELL_PARAMETERS angstrom
4.0374 2.3310 6.6132
-4.0374 2.3310 6.6132
0.0000 -4.6620 6.6132
ATOMIC_POSITIONS angstrom
Tb -2.0187 -1.1655 6.6132
Tb -2.0187 1.1655 13.2263
Tb 0.0000 2.3310 6.6132
Er 0.0000 0.0000 9.9197
Tm -4.0374 0.0000 9.9197
Tm -2.0187 1.1655 3.3066
Tm 2.0187 1.1655 3.3066
Se -2.0602 -1.1894 11.5584
Se 0.0000 -2.3789 8.2811
Se -2.0601 1.1894 8.2811
Se 0.0000 0.0000 4.9145
Se 0.0000 0.0000 14.9250
Se 2.0602 -1.1894 11.5584
Se 0.0000 2.3789 11.5584
Se 2.0601 1.1894 8.2811
! * uncorrected formation energy: -1.810 eV per atom
! * crystal system: trigonal
! * Fermi-level density of states: 6.093 states/eV/f.u.